## Na4Sn2Bi (GGA-PBE)

Data for a relaxed Na4Sn2Bi crystal.

Lattice parameters (Å, degrees): 6.148 6.148 15.002 90.00 90.00 90.00
Fractional coordinates of all 14 atoms:
Na  0.000  0.000  0.202
Na  0.000  0.000  0.798
Na  0.000  0.500  0.000
Na  0.000  0.500  0.500
Na  0.500  0.000  0.000
Na  0.500  0.000  0.500
Na  0.500  0.500  0.298
Na  0.500  0.500  0.702
Sn  0.000  0.000  0.409
Sn  0.000  0.000  0.591
Sn  0.500  0.500  0.091
Sn  0.500  0.500  0.909
Bi  0.000  0.000  0.000
Bi  0.500  0.500  0.500

Space group: No. 139
E_tot (eV/f.u.): -16.803